(1)
Entry from OQMD: a relaxed NaYIr crystal (PBE-GGA).

```
NaYIr
1.0
0.000 3.326 3.326
3.326 0.000 3.326
3.326 3.326 0.000
Na Y Ir
1 1 1
direct
0.250 0.250 0.250
0.750 0.750 0.750
0.000 0.000 0.000
```

Output
ΔE to the lowest computed polymorph = 0.000 eV/atom

(2)
Entry from OQMD: a relaxed GeW2Au crystal (PBE-GGA).

```
GeW2Au
1.0
0.000 3.217 3.217
3.217 0.000 3.217
3.217 3.217 0.000
W Au Ge
2 1 1
direct
0.000 0.000 0.000
0.750 0.750 0.750
0.250 0.250 0.250
0.500 0.500 0.500
```

Output
final energy = -31.010 eV per formula unit

(3)
Entry from OQMD: a relaxed Lu3AsSe2 crystal (PBE-GGA).

```
Lu3AsSe2
1.0
-1.372 -1.421 -3.481
3.705 1.496 0.230
3.434 -8.849 2.260
Se Lu As
2 3 1
direct
0.667 0.333 0.834
0.333 0.667 0.166
0.333 0.667 0.659
0.667 0.333 0.341
0.000 0.000 0.000
0.000 0.000 0.500
```

Output
final energy = -34.758 eV per formula unit

(4)
Entry from OQMD: a relaxed DyScSi crystal (PBE-GGA).

```
DyScSi
1.0
0.000 3.388 3.388
3.388 0.000 3.388
3.388 3.388 0.000
Dy Si Sc
1 1 1
direct
0.000 0.000 0.000
0.750 0.750 0.750
0.250 0.250 0.250
```

Output
ΔE to the lowest computed polymorph = 0.917 eV/atom

(5)
Entry from OQMD: a relaxed CuSbTe crystal (PBE-GGA).

```
CuSbTe
1.0
8.632 0.000 0.000
0.000 3.967 0.000
0.000 0.000 9.350
Cu Sb Te
4 4 4
direct
0.162 0.750 0.600
0.338 0.250 0.100
0.662 0.750 0.900
0.838 0.250 0.400
0.862 0.250 0.956
0.638 0.750 0.456
0.138 0.750 0.044
0.362 0.250 0.544
0.482 0.250 0.828
0.018 0.750 0.328
0.982 0.250 0.672
0.518 0.750 0.172
```

Output
final energy = -10.798 eV per formula unit

(6)
Entry from OQMD: a relaxed NdHoAsO crystal (PBE-GGA).

```
NdHoAsO
1.0
4.404 0.000 0.000
0.000 4.404 0.000
0.000 0.000 8.997
As O Ho Nd
2 2 2 2
direct
0.500 0.000 0.696
0.000 0.500 0.304
0.500 0.500 0.000
0.000 0.000 0.000
0.500 0.500 0.500
0.000 0.000 0.500
0.500 0.000 0.110
0.000 0.500 0.890
```

Output
ΔE to the lowest computed polymorph = 0.066 eV/atom